Record 1
Here is a relaxed structure of TiNbCuRe from Alexandria. Energies are from GGA-PBE.

- magnetization (Bohr magnetons per cell) = 0.00
- DFT formation energy (eV/f.u.) = -0.562
- density (Mg/m³) = 10.402

Lattice parameters (Å, degrees): 4.4508 4.4508 4.4508 60.00 60.00 60.00
With the nearest neighbours (Å) after each atom.
Sites, in units of the cell vectors:
Re1 0.0000 0.0000 0.0000  4 Nb 2.73, 4 Ti 2.73
Nb1 0.7500 0.7500 0.7500  4 Re 2.73, 4 Cu 2.73
Cu1 0.5000 0.5000 0.5000  4 Ti 2.73, 4 Nb 2.73
Ti1 0.2500 0.2500 0.2500  4 Re 2.73, 4 Cu 2.73

---

Record 2
Here is a relaxed structure of H2SCl from Alexandria. Energies are from GGA-PBE.

- magnetization (Bohr magnetons per cell) = 1.90
- density (Mg/m³) = 2.198

Lattice parameters (Å, degrees): 5.2745 5.2745 5.3076 60.21 60.21 90.00
With the nearest neighbours (Å) after each atom.
Sites, in units of the cell vectors:
H1 0.3744 0.1250 0.2500  2 S 1.62
H2 0.3756 0.6250 0.2500  2 S 1.62
H3 0.3750 0.6256 0.7500  2 S 1.62
H4 0.8750 0.6244 0.7500  2 S 1.62
S1 0.5000 0.5000 0.0000  4 H 1.62
S2 0.2500 0.7500 0.5000  4 H 1.62
Cl1 0.0000 0.0000 0.0000  12 H 3.09-3.12, 4 S 3.24, 4 Cl 3.24
Cl2 0.7500 0.2500 0.5000  12 H 3.09-3.12, 4 S 3.24, 4 Cl 3.24

---

Record 3
Here is a relaxed structure of LaCrTc2Se from Alexandria. Energies are from GGA-PBE.

- magnetization (Bohr magnetons per cell) = 1.54
- density (Mg/m³) = 6.776
- formation energy (no corrections) (meV/atom) = 609

Lattice parameters (Å, degrees): 4.4190 5.8460 4.4190 90.00 90.00 90.00
With the nearest neighbours (Å) after each atom.
Sites, in units of the cell vectors:
Cr1 0.0000 0.0000 0.0000  4 Tc 2.21
Tc1 0.0000 0.0000 0.5000  2 Cr 2.21
Tc2 0.5000 0.0000 0.0000  2 Cr 2.21
Se1 0.5000 0.5000 0.5000  4 La 3.12
La1 0.0000 0.5000 0.0000  2 Cr 2.92, 4 Se 3.12

---

Record 4
Here is a relaxed structure of CaBiAsSe2 from Alexandria. Energies are from GGA-PBE.

- magnetization (Bohr magnetons per cell) = 0.00
- density (Mg/m³) = 5.203
- formation energy (no corrections) (meV/atom) = 209

Lattice parameters (Å, degrees): 5.3425 5.3425 5.3887 90.00 90.00 90.00
With the nearest neighbours (Å) after each atom.
Sites, in units of the cell vectors:
As1 0.0000 0.0000 0.5000  2 Ca 2.69
Ca1 0.0000 0.0000 0.0000  4 Se 2.67, 2 As 2.69
Bi1 0.5000 0.5000 0.5000  4 As 3.78, 8 Se 3.79
Se1 0.0000 0.5000 0.0000  2 Ca 2.67
Se2 0.5000 0.0000 0.0000  2 Ca 2.67

---

Record 5
Here is a relaxed structure of DyAgCO4 from Alexandria. Energies are from GGA-PBE.

- magnetization (Bohr magnetons per cell) = 0.00
- density (Mg/m³) = 7.050
- formation energy (no corrections) (meV/atom) = -1515

Lattice parameters (Å, degrees): 5.5432 6.1037 6.1037 73.57 62.99 62.99
With the nearest neighbours (Å) after each atom.
Sites, in units of the cell vectors:
Dy1 0.0000 0.0000 0.0000  6 O 2.35-2.41
Dy2 0.0000 0.5000 0.5000  6 O 2.35-2.41
Ag1 0.5000 0.0000 0.5000  2 O 2.09
Ag2 0.0000 0.0000 0.5000  2 O 2.09
C1 0.6358 0.6142 0.1142  2 O 1.30
C2 0.3642 0.3858 0.8858  2 O 1.30
O1 0.7124 0.6942 0.8810  1 C 1.30
O2 0.2876 0.6190 0.8058  1 C 1.30
O3 0.7124 0.3810 0.1942  1 C 1.30
O4 0.2876 0.3058 0.1190  1 C 1.30
O5 0.2751 0.7411 0.2411  1 C 1.65
O6 0.7428 0.7411 0.2411  1 C 1.65
O7 0.2572 0.2589 0.7589  1 C 1.65
O8 0.7249 0.2589 0.7589  1 C 1.65

---

Record 6
Here is a relaxed structure of CeBiAu2 from Alexandria. Energies are from GGA-PBE.

- magnetization (Bohr magnetons per cell) = 0.78
- DFT formation energy (eV/f.u.) = -2.291
- density (Mg/m³) = 12.711

Lattice parameters (Å, degrees): 5.1586 5.1586 5.1586 60.00 60.00 60.00
With the nearest neighbours (Å) after each atom.
Sites, in units of the cell vectors:
Au1 0.7500 0.7500 0.7500  4 Ce 3.16, 4 Bi 3.16
Au2 0.2500 0.2500 0.2500  4 Bi 3.16, 4 Ce 3.16
Bi1 0.5000 0.5000 0.5000  8 Au 3.16
Ce1 0.0000 0.0000 0.0000  8 Au 3.16

---

no.,E (Ry/atom)
1,-0.6444
2,-0.2196
3,-0.5251
4,-0.2419
5,-0.4947
6,-0.3429